Material: Sr3H2PtO6
Method: DFT, PBE
State: relaxed

Cell and atoms, written as CIF:
```
data_Sr3H2PtO6
_chemical_formula_sum 'Sr3 H2 Pt1 O6'
_cell_length_a 5.3714
_cell_length_b 5.3714
_cell_length_c 6.3941
_cell_angle_alpha 90.00
_cell_angle_beta 90.00
_cell_angle_gamma 120.00
_symmetry_space_group_name_H-M 'P -3 m 1'
_symmetry_Int_Tables_number 164
_symmetry_space_group_name_Hall '-P 3 2"'
loop_
_atom_site_label
_atom_site_fract_x
_atom_site_fract_y
_atom_site_fract_z
Sr1 0.0000 0.0000 0.0000
Sr2 0.3333 0.6667 0.6582
H1 0.3333 0.6667 0.3000
Pt1 0.0000 0.0000 0.5000
O1 0.1754 0.3507 0.2975
```

Values from the calculation:
calculated total energy: -5.51 eV/atom



Material: Tc2HPtO
Method: DFT, PBE
State: relaxed

Cell and atoms, written as CIF:
```
data_Tc2HPtO
_chemical_formula_sum 'Tc2 H1 Pt1 O1'
_cell_length_a 3.962
_cell_length_b 3.962
_cell_length_c 3.909
_cell_angle_alpha 90.00
_cell_angle_beta 90.00
_cell_angle_gamma 90.00
_symmetry_space_group_name_H-M 'P 4/m m m'
_symmetry_Int_Tables_number 123
_symmetry_space_group_name_Hall '-P 4 2'
loop_
_atom_site_label
_atom_site_fract_x
_atom_site_fract_y
_atom_site_fract_z
Tc1 0.000 0.500 0.000
H1 0.000 0.000 0.500
Pt1 0.500 0.500 0.500
O1 0.000 0.000 0.000
```

Values from the calculation:
calculated total energy: -6.60 eV/atom